Record 1
KLi2Pb (GGA-PBE, relaxed); crystal system = orthorhombic; DFT formation energy = -0.3 eV/f.u.; E_tot = -2.243 eV per atom
1.0
3.5087 0.0000 0.0000
0.0000 3.8798 0.0000
0.0000 0.0000 8.7039
K Li Pb
1 2 1
direct
0.0000 0.0000 0.0000
0.0000 0.0000 0.5203
0.5000 0.5000 0.3486
0.5000 0.5000 0.6919

Record 2
KLi2Pb (GGA-PBE, relaxed); crystal system = tetragonal; DFT formation energy = -0.1 eV/f.u.; E_tot = -2.184 eV per atom
1.0
-2.3603 2.3603 5.1445
2.3603 -2.3603 5.1445
2.3603 2.3603 -5.1445
K Li Pb
1 2 1
direct
0.0000 0.0000 0.0000
0.2500 0.7500 0.5000
0.5000 0.5000 0.0000
0.7500 0.2500 0.5000

Record 3
KLi5Pb7 (GGA-PBE, relaxed); crystal system = orthorhombic; DFT formation energy = -2.6 eV/f.u.; E_tot = -3.019 eV per atom
1.0
-3.1360 5.3179 5.1112
3.1360 -5.3179 5.1112
3.1360 5.3179 -5.1112
K Li Pb
1 5 7
direct
0.0000 0.0000 0.0000
0.0094 0.5107 0.0118
0.0094 0.9975 0.4987
0.4988 0.5107 0.5013
0.4988 0.9975 0.9882
0.7660 0.2660 0.5000
0.2068 0.4959 0.7109
0.2355 0.7355 0.5000
0.3442 0.3442 0.0000
0.3601 0.0170 0.3431
0.6486 0.6486 0.0000
0.6740 0.0170 0.6569
0.7850 0.4959 0.2891

Record 4
K5LiPb6 (GGA-PBE, relaxed); crystal system = monoclinic; DFT formation energy = -1.6 eV/f.u.; E_tot = -2.600 eV per atom
1.0
3.6358 -8.1424 0.0000
3.6358 8.1424 0.0000
-3.3740 0.0000 8.0935
K Li Pb
5 1 6
direct
0.0000 0.0000 0.0000
0.2846 0.7154 0.0000
0.3589 0.6411 0.5000
0.6411 0.3589 0.5000
0.7154 0.2846 0.0000
0.0000 0.0000 0.5000
0.0791 0.7952 0.3126
0.2048 0.9209 0.6874
0.4036 0.4036 0.7996
0.5964 0.5964 0.2004
0.7952 0.0791 0.3126
0.9209 0.2048 0.6874

Record 5
K2LiPb2 (GGA-PBE, relaxed); crystal system = tetragonal; relative energy among the computed polymorphs = 138 meV/atom; DFT formation energy = 0.4 eV/f.u.; E_tot = -2.226 eV per atom
1.0
10.4370 0.0000 0.0000
0.0000 10.4370 0.0000
0.0000 0.0000 3.5593
K Li Pb
4 2 4
direct
0.1921 0.3079 0.0000
0.3079 0.8079 0.0000
0.6921 0.1921 0.0000
0.8079 0.6921 0.0000
0.0000 0.0000 0.0000
0.5000 0.5000 0.0000
0.1043 0.6043 0.5000
0.3957 0.1043 0.5000
0.6043 0.8957 0.5000
0.8957 0.3957 0.5000

Record 6
K3LiPb (GGA-PBE, relaxed); crystal system = cubic; relative energy among the computed polymorphs = 0 meV/atom; DFT formation energy = 1.1 eV/f.u.; E_tot = -1.554 eV per atom
1.0
6.9094 0.0000 0.0000
0.0000 6.9094 0.0000
0.0000 0.0000 6.9094
K Li Pb
3 1 1
direct
0.0000 0.0000 0.5000
0.0000 0.5000 0.0000
0.5000 0.0000 0.0000
0.5000 0.5000 0.5000
0.0000 0.0000 0.0000

M_tot: 0.000; 0.000; 0.000; 0.000; 0.000; 0.361 (μB/atom)